# 1
Density functional theory data (PBE) for crystalline KZnAg2 at its relaxed geometry.

Geometry as extended XYZ:
```
4
Lattice="3.224 0.000 0.000 0.000 5.274 0.000 0.000 0.000 5.341" Properties=species:S:1:pos:R:3 pbc="T T T"
K 0.000 0.000 0.000
Zn 1.612 0.000 2.671
Ag 0.000 2.637 2.671
Ag 1.612 2.637 0.000
```

Spin magnetization, μB/f.u.: 0.0
Final energy, eV per atom: -1.718
ΔE_f, eV/f.u.: 1.2



# 2
Density functional theory data (PBE) for crystalline AlIrS2 at its relaxed geometry.

Geometry as extended XYZ:
```
8
Lattice="-2.651 2.651 5.357 2.651 -2.651 5.357 2.651 2.651 -5.357" Properties=species:S:1:pos:R:3 pbc="T T T"
Al 0.000 0.000 0.000
Al 0.000 2.651 2.678
Ir 2.651 0.000 2.678
Ir 0.000 0.000 5.357
S 3.977 1.306 -1.339
S 1.306 1.326 1.339
S -1.326 1.346 4.018
S 1.346 1.326 6.696
```

Spin magnetization, μB/f.u.: 0.0
Raw formation energy, eV per atom: -0.2784
Final energy, eV per atom: -5.493



# 3
Density functional theory data (PBE) for crystalline Dy7SnRu2 at its relaxed geometry.

Geometry as extended XYZ:
```
10
Lattice="4.463 -6.757 0.000 4.463 6.757 0.000 0.000 0.000 5.171" Properties=species:S:1:pos:R:3 pbc="T T T"
Dy 0.000 0.000 0.000
Dy 2.803 1.770 0.000
Dy 4.463 3.711 2.585
Dy 2.803 -1.770 0.000
Dy 6.122 1.770 0.000
Dy 4.463 -3.711 2.585
Dy 6.122 -1.770 0.000
Sn 4.463 0.000 2.585
Ru 4.463 4.065 0.000
Ru 4.463 -4.065 0.000
```

Spin magnetization, μB/f.u.: 0.0
Final energy, eV per atom: -5.644
ΔE_f, eV/f.u.: -1.7



# 4
Density functional theory data (PBE) for crystalline Pm4BiP2 at its relaxed geometry.

Geometry as extended XYZ:
```
14
Lattice="2.122 -6.806 0.000 2.122 6.806 0.000 0.000 0.000 13.997" Properties=species:S:1:pos:R:3 pbc="T T T"
Pm 0.000 0.000 0.000
Pm 0.000 0.000 6.998
Pm 2.122 3.206 8.593
Pm 2.122 3.206 12.402
Pm 2.122 0.877 3.499
Pm 2.122 -0.877 10.498
Pm 2.122 -3.206 1.595
Pm 2.122 -3.206 5.404
Bi 2.122 5.332 3.499
Bi 2.122 -5.332 10.498
P 2.122 1.833 0.840
P 2.122 1.833 6.158
P 2.122 -1.833 7.839
P 2.122 -1.833 13.157
```

Spin magnetization, μB/f.u.: 0.6
Final energy, eV per atom: -6.012
ΔE_f, eV/f.u.: -8.4



# 5
Density functional theory data (PBE) for crystalline BaPrCdGa at its relaxed geometry.

Geometry as extended XYZ:
```
4
Lattice="0.000 3.982 3.982 3.982 0.000 3.982 3.982 3.982 0.000" Properties=species:S:1:pos:R:3 pbc="T T T"
Ba 0.000 0.000 0.000
Pr 3.982 3.982 3.982
Cd 1.991 1.991 1.991
Ga 5.974 5.974 5.974
```

Spin magnetization, μB/f.u.: 0.0
Final energy, eV per atom: -2.933
ΔE_f, eV/f.u.: -1.1



# 6
Density functional theory data (PBE) for crystalline Ce2Pa4Ge3H2 at its relaxed geometry.

Geometry as extended XYZ:
```
11
Lattice="-2.187 2.187 12.240 2.187 -2.187 12.240 2.187 2.187 -12.240" Properties=species:S:1:pos:R:3 pbc="T T T"
Ce 0.000 0.000 4.923
Ce 0.000 0.000 19.557
Pa 2.187 0.000 2.034
Pa 2.187 0.000 10.206
Pa 0.000 2.187 2.034
Pa 0.000 2.187 10.206
Ge 0.000 0.000 8.040
Ge 0.000 0.000 12.240
Ge 0.000 0.000 16.441
H 0.000 0.000 1.281
H 0.000 0.000 23.200
```

Spin magnetization, μB/f.u.: 2.5
Final energy, eV per atom: -6.720



# 7
Density functional theory data (PBE) for crystalline Cd2PbW at its relaxed geometry.

Geometry as extended XYZ:
```
4
Lattice="-1.471 2.416 6.735 1.471 -2.416 6.735 1.471 2.416 -6.735" Properties=species:S:1:pos:R:3 pbc="T T T"
Cd 0.000 0.000 2.581
Cd 0.000 0.000 10.889
Pb 0.000 2.416 0.000
W 1.471 0.000 0.000
```

Spin magnetization, μB/f.u.: 0.1
Final energy, eV per atom: -3.979
ΔE_f, eV/f.u.: 2.6



# 8
Density functional theory data (PBE) for crystalline SrGdMgAl at its relaxed geometry.

Geometry as extended XYZ:
```
4
Lattice="0.000 3.862 3.862 3.862 0.000 3.862 3.862 3.862 0.000" Properties=species:S:1:pos:R:3 pbc="T T T"
Sr 0.000 0.000 0.000
Gd 3.862 3.862 3.862
Mg 5.793 5.793 5.793
Al 1.931 1.931 1.931
```

Spin magnetization, μB/f.u.: 7.4
Final energy, eV per atom: -5.395
ΔE_f, eV/f.u.: -0.5